Record 1
# NaNiAsO4 | Alexandria via LeMat-Bulk | GGA-PBEsol | optimized geometry
# - raw formation energy (meV/atom) = -1237
# - crystal system = trigonal
data_NaNiAsO4
_chemical_formula_sum 'Na6 Ni6 As6 O24'
_cell_length_a 4.9358
_cell_length_b 4.9358
_cell_length_c 26.4254
_cell_angle_alpha 90.00
_cell_angle_beta 90.00
_cell_angle_gamma 120.00
_space_group_name_H-M_alt 'R -3'
_space_group_IT_number 148
_space_group_name_Hall '-R 3'
loop_
_atom_site_label
_atom_site_fract_x
_atom_site_fract_y
_atom_site_fract_z
_atom_site_occupancy
Na1 0.0000 0.0000 0.2129 1
Ni1 0.0000 0.0000 0.3353 1
As1 0.0000 0.0000 0.0655 1
O1 0.0000 0.0000 0.1290 1
O2 0.0013 0.6754 0.7119 1


Record 2
# NaAsO3 | Alexandria via LeMat-Bulk | GGA-PBEsol | optimized geometry
# - raw formation energy (meV/atom) = -1454
# - crystal system = triclinic
data_NaAsO3
_chemical_formula_sum 'Na6 As6 O18'
_cell_length_a 7.3523
_cell_length_b 7.5049
_cell_length_c 8.0507
_cell_angle_alpha 103.79
_cell_angle_beta 91.43
_cell_angle_gamma 90.76
_space_group_name_H-M_alt 'P -1'
_space_group_IT_number 2
loop_
_space_group_symop_operation_xyz
'x,y,z'
'-x,-y,-z'
loop_
_atom_site_label
_atom_site_fract_x
_atom_site_fract_y
_atom_site_fract_z
_atom_site_occupancy
Na1 0.0163 0.2499 0.4892 1
Na2 0.2426 0.9242 0.2105 1
Na3 0.2597 0.4417 0.2226 1
As1 0.2106 0.5550 0.8353 1
As2 0.2307 0.1257 0.8234 1
As3 0.4495 0.7809 0.6117 1
O1 0.0424 0.5459 0.6912 1
O2 0.0537 0.0548 0.6885 1
O3 0.1839 0.6361 0.0434 1
O4 0.2204 0.1283 0.0294 1
O5 0.2990 0.7279 0.4494 1
O6 0.3205 0.3400 0.8028 1
O7 0.3264 0.2364 0.4076 1
O8 0.4094 0.6642 0.7779 1
O9 0.4313 0.0127 0.7325 1


Record 3
# NaAsPO2 | Alexandria via LeMat-Bulk | GGA-PBEsol | optimized geometry
# - raw formation energy (meV/atom) = -262
# - crystal system = tetragonal
data_NaAsPO2
_chemical_formula_sum 'Na1 As1 P1 O2'
_cell_length_a 3.7806
_cell_length_b 3.7806
_cell_length_c 4.9592
_cell_angle_alpha 90.00
_cell_angle_beta 90.00
_cell_angle_gamma 90.00
_space_group_name_H-M_alt 'P 4/m m m'
_space_group_IT_number 123
_space_group_name_Hall '-P 4 2'
loop_
_atom_site_label
_atom_site_fract_x
_atom_site_fract_y
_atom_site_fract_z
_atom_site_occupancy
Na1 0.0000 0.0000 0.0000 1
As1 0.5000 0.5000 0.5000 1
P1 0.5000 0.5000 0.0000 1
O1 0.0000 0.5000 0.5000 1


Record 4
# NaAs3Pb4O12 | Alexandria via LeMat-Bulk | GGA-PBEsol | optimized geometry
# - raw formation energy (meV/atom) = -1360
# - crystal system = hexagonal
data_NaAs3Pb4O12
_chemical_formula_sum 'Na2 As6 Pb8 O24'
_cell_length_a 10.0190
_cell_length_b 10.0190
_cell_length_c 7.3409
_cell_angle_alpha 90.00
_cell_angle_beta 90.00
_cell_angle_gamma 120.00
_space_group_name_H-M_alt 'P 63'
_space_group_IT_number 173
loop_
_space_group_symop_operation_xyz
'x,y,z'
'x-y,x,z+1/2'
'-y,x-y,z'
'-x,-y,z+1/2'
'-x+y,-x,z'
'y,-x+y,z+1/2'
loop_
_atom_site_label
_atom_site_fract_x
_atom_site_fract_y
_atom_site_fract_z
_atom_site_occupancy
Na1 0.3333 0.6667 0.0000 1
As1 0.0202 0.3960 0.2490 1
Pb1 0.0007 0.2573 0.7414 1
Pb2 0.3333 0.6667 0.5159 1
O1 0.0761 0.3208 0.0744 1
O2 0.0999 0.3623 0.4390 1
O3 0.1110 0.5938 0.2254 1
O4 0.1751 0.6861 0.7606 1


Record 5
# Na2ThAs2O8 | Alexandria via LeMat-Bulk | GGA-PBEsol | optimized geometry
# - raw formation energy (meV/atom) = -2072
# - crystal system = orthorhombic
data_Na2ThAs2O8
_chemical_formula_sum 'Na16 Th8 As16 O64'
_cell_length_a 7.0455
_cell_length_b 12.3430
_cell_length_c 18.3283
_cell_angle_alpha 90.00
_cell_angle_beta 90.00
_cell_angle_gamma 90.00
_space_group_name_H-M_alt 'F d d d'
_space_group_IT_number 70
loop_
_space_group_symop_operation_xyz
'x,y,z'
'-x,-y,-z'
'-x+1/4,-y+1/4,z'
'x+1/4,y+1/4,-z'
'x,-y+1/4,-z+1/4'
'-x,y+1/4,z+1/4'
'-x+1/4,y,-z+1/4'
'x+1/4,-y,z+1/4'
'x,y+1/2,z+1/2'
'-x,-y+1/2,-z+1/2'
'-x+1/4,-y+3/4,z+1/2'
'x+1/4,y+3/4,-z+1/2'
'x,-y+3/4,-z+3/4'
'-x,y+3/4,z+3/4'
'-x+1/4,y+1/2,-z+3/4'
'x+1/4,-y+1/2,z+3/4'
'x+1/2,y,z+1/2'
'-x+1/2,-y,-z+1/2'
'-x+3/4,-y+1/4,z+1/2'
'x+3/4,y+1/4,-z+1/2'
'x+1/2,-y+1/4,-z+3/4'
'-x+1/2,y+1/4,z+3/4'
'-x+3/4,y,-z+3/4'
'x+3/4,-y,z+3/4'
'x+1/2,y+1/2,z'
'-x+1/2,-y+1/2,-z'
'-x+3/4,-y+3/4,z'
'x+3/4,y+3/4,-z'
'x+1/2,-y+3/4,-z+1/4'
'-x+1/2,y+3/4,z+1/4'
'-x+3/4,y+1/2,-z+1/4'
'x+3/4,-y+1/2,z+1/4'
loop_
_atom_site_label
_atom_site_fract_x
_atom_site_fract_y
_atom_site_fract_z
_atom_site_occupancy
Na1 0.1250 0.1250 0.2706 1
Th1 0.1250 0.1250 0.6250 1
As1 0.1250 0.1250 0.4470 1
O1 0.0517 0.3390 0.9934 1
O2 0.0782 0.0208 0.3886 1


Record 6
# NaTi2As3O12 | Alexandria via LeMat-Bulk | GGA-PBEsol | optimized geometry
# - raw formation energy (meV/atom) = -1891
# - crystal system = trigonal
data_NaTi2As3O12
_chemical_formula_sum 'Na6 Ti12 As18 O72'
_cell_length_a 8.9278
_cell_length_b 8.9278
_cell_length_c 22.3019
_cell_angle_alpha 90.00
_cell_angle_beta 90.00
_cell_angle_gamma 120.00
_space_group_name_H-M_alt 'R -3 c'
_space_group_IT_number 167
_space_group_name_Hall '-R 3 2"c'
loop_
_atom_site_label
_atom_site_fract_x
_atom_site_fract_y
_atom_site_fract_z
_atom_site_occupancy
Na1 0.0000 0.0000 0.0000 1
Ti1 0.0000 0.0000 0.1422 1
As1 0.0000 0.2869 0.2500 1
O1 0.0197 0.1894 0.1874 1
O2 0.0277 0.1813 0.9157 1


Record 7
# NaTiAsO5 | Alexandria via LeMat-Bulk | GGA-PBEsol | optimized geometry
# - raw formation energy (meV/atom) = -2101
# - crystal system = monoclinic
data_NaTiAsO5
_chemical_formula_sum 'Na4 Ti4 As4 O20'
_cell_length_a 6.7260
_cell_length_b 8.8171
_cell_length_c 7.1935
_cell_angle_alpha 90.00
_cell_angle_beta 114.53
_cell_angle_gamma 90.00
_space_group_name_H-M_alt 'P 1 21/c 1'
_space_group_IT_number 14
loop_
_space_group_symop_operation_xyz
'x,y,z'
'-x,-y,-z'
'-x,y+1/2,-z+1/2'
'x,-y+1/2,z+1/2'
loop_
_atom_site_label
_atom_site_fract_x
_atom_site_fract_y
_atom_site_fract_z
_atom_site_occupancy
Na1 0.2474 0.0741 0.2386 1
Ti1 0.2523 0.7441 0.9847 1
As1 0.2493 0.0666 0.7484 1
O1 0.0547 0.1832 0.5789 1
O2 0.1492 0.5417 0.3883 1
O3 0.2508 0.6877 0.7497 1
O4 0.3571 0.5387 0.1129 1
O5 0.4367 0.1878 0.9156 1


Record 8
# NaVAsO5 | Alexandria via LeMat-Bulk | GGA-PBEsol | optimized geometry
# - raw formation energy (meV/atom) = -1837
# - crystal system = monoclinic
data_NaVAsO5
_chemical_formula_sum 'Na4 V4 As4 O20'
_cell_length_a 6.6570
_cell_length_b 8.7663
_cell_length_c 7.0092
_cell_angle_alpha 90.00
_cell_angle_beta 114.15
_cell_angle_gamma 90.00
_space_group_name_H-M_alt 'C 1 2/c 1'
_space_group_IT_number 15
loop_
_space_group_symop_operation_xyz
'x,y,z'
'-x,-y,-z'
'-x,y,-z+1/2'
'x,-y,z+1/2'
'x+1/2,y+1/2,z'
'-x+1/2,-y+1/2,-z'
'-x+1/2,y+1/2,-z+1/2'
'x+1/2,-y+1/2,z+1/2'
loop_
_atom_site_label
_atom_site_fract_x
_atom_site_fract_y
_atom_site_fract_z
_atom_site_occupancy
Na1 0.0000 0.1763 0.2500 1
V1 0.0000 0.5000 0.0000 1
As1 0.0000 0.1846 0.7500 1
O1 0.0000 0.4478 0.2500 1
O2 0.1049 0.2915 0.6066 1
O3 0.1922 0.0636 0.9201 1


Record 9
# NaZnAsO4 | Alexandria via LeMat-Bulk | GGA-PBEsol | optimized geometry
# - raw formation energy (meV/atom) = -1519
# - offset from the most stable computed form (meV per atom) = 3.5
# - crystal system = hexagonal
data_NaZnAsO4
_chemical_formula_sum 'Na6 Zn6 As6 O24'
_cell_length_a 9.0135
_cell_length_b 9.0135
_cell_length_c 8.2459
_cell_angle_alpha 90.00
_cell_angle_beta 90.00
_cell_angle_gamma 120.00
_space_group_name_H-M_alt 'P 63'
_space_group_IT_number 173
loop_
_space_group_symop_operation_xyz
'x,y,z'
'x-y,x,z+1/2'
'-y,x-y,z'
'-x,-y,z+1/2'
'-x+y,-x,z'
'y,-x+y,z+1/2'
loop_
_atom_site_label
_atom_site_fract_x
_atom_site_fract_y
_atom_site_fract_z
_atom_site_occupancy
Na1 0.0000 0.0000 0.0000 1
Na2 0.3333 0.6667 0.0119 1
Na3 0.3333 0.6667 0.4285 1
Zn1 0.0153 0.3386 0.3060 1
As1 0.0279 0.3419 0.6991 1
O1 0.0977 0.8768 0.2055 1
O2 0.1009 0.5693 0.2215 1
O3 0.1330 0.3954 0.5173 1
O4 0.1854 0.4133 0.8445 1


Record 10
# NaZnAsO4 | Alexandria via LeMat-Bulk | GGA-PBEsol | optimized geometry
# - raw formation energy (meV/atom) = -1522
# - offset from the most stable computed form (meV per atom) = 0.0
# - crystal system = monoclinic
data_NaZnAsO4
_chemical_formula_sum 'Na12 Zn12 As12 O48'
_cell_length_a 8.9640
_cell_length_b 8.2321
_cell_length_c 18.0731
_cell_angle_alpha 90.00
_cell_angle_beta 119.56
_cell_angle_gamma 90.00
_space_group_name_H-M_alt 'P 1 21/c 1'
_space_group_IT_number 14
loop_
_space_group_symop_operation_xyz
'x,y,z'
'-x,-y,-z'
'-x,y+1/2,-z+1/2'
'x,-y+1/2,z+1/2'
loop_
_atom_site_label
_atom_site_fract_x
_atom_site_fract_y
_atom_site_fract_z
_atom_site_occupancy
Na1 0.0020 0.0255 0.2451 1
Na2 0.3008 0.5334 0.5714 1
Na3 0.3502 0.5397 0.0885 1
Zn1 0.0178 0.6677 0.9214 1
Zn2 0.3214 0.6713 0.7414 1
Zn3 0.3445 0.1640 0.9084 1
As1 0.0285 0.2240 0.4194 1
As2 0.3099 0.2259 0.2326 1
As3 0.3474 0.7309 0.4099 1
O1 0.0969 0.7406 0.5348 1
O2 0.0991 0.7202 0.1891 1
O3 0.1284 0.7256 0.3648 1
O4 0.1346 0.0432 0.4526 1
O5 0.1830 0.1286 0.9495 1
O6 0.2144 0.2470 0.2942 1
O7 0.2281 0.1343 0.6516 1
O8 0.2525 0.0406 0.1834 1
O9 0.4039 0.6227 0.8606 1
O10 0.4196 0.5510 0.3918 1
O11 0.4349 0.7341 0.0170 1
O12 0.4724 0.7438 0.2024 1


no.,E_tot (eV/atom)
1,-6.0456
2,-5.9049
3,-4.8212
4,-6.1451
5,-6.9272
6,-7.2441
7,-7.2350
8,-7.1351
9,-5.6739
10,-5.6774